# Sm4Y2Er5 PBE relaxed
# Energy above the most stable polymorph in this dataset = 0.000 eV per atom
# Energy of formation from the pure elements = 0.1027 eV/atom
data_Sm4Y2Er5
_cell_length_a 19.172
_cell_length_b 5.643
_cell_length_c 6.556
_cell_angle_alpha 90.00
_cell_angle_beta 91.36
_cell_angle_gamma 90.00
_space_group_name_H-M_alt 'C 1 2/m 1'
_space_group_IT_number 12
_space_group_name_Hall '-C 2y'
loop_
_atom_site_label
_atom_site_fract_x
_atom_site_fract_y
_atom_site_fract_z
Sm1 0.021 0.000 0.284
Sm2 0.196 0.500 0.073
Y1 0.099 0.500 0.553
Er1 0.000 0.500 0.000
Er2 0.130 0.000 0.892
Er3 0.209 0.000 0.402